A plane-wave DFT calculation with PBE was carried out for a geometry-optimized Na3Np2AgS6 structure.

Properties
formation energy (no corrections): -1.16 eV/atom
theoretical density: 5.187 g/cm3
V: 539.90 Å³/cell
DOS(E_F): 26.829 states/eV/cell

Cell lengths 6.8489, 11.8391, 7.0402 Å; angles 90.00, 108.96, 90.00 degrees
Space group C2/m (No. 12)
Inequivalent atoms, fractional coordinates:
Na 0.0000 0.0000 0.0000
Na 0.0000 0.3409 0.0000
Np 0.0000 0.1673 0.5000
Ag 0.0000 0.5000 0.5000
S 0.2250 0.0000 0.7276
S 0.2481 0.1756 0.2728

=====

A plane-wave DFT calculation with PBE was carried out for a geometry-optimized NaNpAgS3 structure.

Properties
formation energy (no corrections): -0.99 eV/atom
theoretical density: 5.354 g/cm3
V: 287.85 Å³/cell
DOS(E_F): 17.311 states/eV/cell

Cell lengths 7.2663, 4.0403, 10.0559 Å; angles 90.00, 102.83, 90.00 degrees
Space group P2_1/m (No. 11)
Inequivalent atoms, fractional coordinates:
Na 0.1354 0.2500 0.1685
Np 0.3677 0.2500 0.8273
Ag 0.1467 0.7500 0.5598
S 0.0157 0.2500 0.6918
S 0.2851 0.7500 0.9931
S 0.4808 0.7500 0.6923

=====

A plane-wave DFT calculation with PBE was carried out for a geometry-optimized Na4Np3AgS8 structure.

Properties
formation energy (no corrections): -1.20 eV/atom
theoretical density: 5.318 g/cm3
V: 1093.44 Å³/cell
DOS(E_F): 87.573 states/eV/cell

Cell lengths 7.9591, 7.9591, 19.9327 Å; angles 90.00, 90.00, 120.00 degrees
Space group R-3m (No. 166, hexagonal axes)
Inequivalent atoms, fractional coordinates:
Na 0.0000 0.0000 0.0000
Na 0.0000 0.5000 0.0000
Np 0.0000 0.5000 0.5000
Ag 0.0000 0.0000 0.5000
S 0.0000 0.0000 0.2424
S 0.0131 0.5066 0.7582

=====

Q: What is the V in the first record?
A: 539.90 Å³/cell

=====

Q: Number 1 is which compound?
A: Na3Np2AgS6

=====

Q: Number 1 is which compound?
A: Na3Np2AgS6

=====

Q: Which value of formation energy (no corrections) does entry 1 give?
A: -1.16 eV/atom